Entry from Alexandria: a relaxed Na2MnCrO4 crystal (PBE+U).

Calculated values
symmetry	P2/m, No. 10
VASP energy	-6.33	eV/atom
ρ	4.26	g cm⁻³
DOS at the Fermi energy	0.00	states/eV/f.u.

Lattice parameters (Å, degrees): 5.254 3.009 5.641 90.00 108.35 90.00
Positions (direct):
Na: 0.000 0.000 0.000
Na: 0.500 0.500 0.000
Mn: 0.000 0.500 0.500
Cr: 0.500 0.000 0.500
O: 0.228 0.000 0.694
O: 0.268 0.500 0.299
O: 0.732 0.500 0.701
O: 0.772 0.000 0.306